Record 1
Material: HfCd2Sn
Method: DFT, PBE
State: optimized geometry

POSCAR file:
```
HfCd2Sn
1.0
-7.7627 1.4539 -1.9745
-2.4267 -3.6157 6.8782
-4.9689 1.4776 3.8412
Hf Sn Cd
2 2 4
direct
0.0000 0.0000 0.0000
0.7500 0.2500 0.5000
0.5000 0.5000 0.0000
0.2500 0.7500 0.5000
0.6175 0.1250 0.2500
0.1325 0.6250 0.2500
0.3750 0.3825 0.7500
0.8750 0.8675 0.7500
```

Output
**Energy of formation**: 0.83 eV per formula unit
**Raw total energy**: -3.74 eV/atom
**Space-group type**: I-42d (122)
**M_tot**: 0.00 Bohr magnetons per cell
**Calculated volume**: 193 Å³ per cell


Record 2
Material: KLaPt2S
Method: DFT, PBE
State: optimized geometry

POSCAR file:
```
KLaPt2S
1.0
4.8446 0.0000 0.0000
0.0000 5.2542 0.0000
0.0000 0.0000 4.8446
K S Pt La
1 1 2 1
direct
0.5000 0.5000 0.5000
0.0000 0.0000 0.0000
0.0000 0.0000 0.5000
0.5000 0.0000 0.0000
0.0000 0.5000 0.0000
```

Output
**Raw total energy**: -4.71 eV/atom
**Formation energy without anion corrections**: -262 meV per atom
**Space-group type**: P4/mmm (123)
**M_tot**: 0.00 Bohr magnetons per cell
**Calculated volume**: 123 Å³ per cell


Record 3
Material: KTlIO6
Method: DFT, PBE
State: optimized geometry

POSCAR file:
```
KTlIO6
1.0
-5.2878 -1.1749 1.5361
-0.9714 -3.5633 4.2497
0.1025 4.4866 3.7851
K Tl I O
1 1 1 6
direct
0.0000 0.0000 0.0000
0.6666 0.6667 0.5000
0.3333 0.3333 0.5000
0.0481 0.3546 0.3095
0.3546 0.0481 0.6905
0.5972 0.3546 0.6905
0.0481 0.5973 0.6905
0.3546 0.5973 0.3095
0.5973 0.0481 0.3095
```

Output
**Raw total energy**: -4.44 eV/atom
**Formation energy without anion corrections**: -581 meV per atom
**Space-group type**: P312 (149)
**M_tot**: 1.07 Bohr magnetons per cell
**Calculated volume**: 161 Å³ per cell


Record 4
Material: ZnOsRh3
Method: DFT, PBE
State: optimized geometry

POSCAR file:
```
ZnOsRh3
1.0
4.4438 0.0000 0.0000
0.0000 4.4438 0.0000
0.0000 0.0000 4.4438
Rh Zn Os
3 1 1
direct
0.0000 0.5000 0.0000
0.0000 0.0000 0.5000
0.5000 0.0000 0.0000
0.0000 0.0000 0.0000
0.5000 0.5000 0.5000
```

Output
**Energy of formation**: 7.57 eV per formula unit
**Raw total energy**: -5.40 eV/atom
**Space-group type**: Pm-3m (221)
**M_tot**: 4.45 Bohr magnetons per cell
**ΔE to the lowest computed polymorph**: 255 meV per atom
**Calculated volume**: 88 Å³ per cell


Record 5
Material: LiLa2Sc
Method: DFT, PBE
State: optimized geometry

POSCAR file:
```
LiLa2Sc
1.0
3.4444 0.0000 0.0000
0.0000 5.0540 0.0000
0.0000 0.0000 6.7984
La Li Sc
2 1 1
direct
0.0000 0.0000 0.9680
0.5000 0.5000 0.2717
0.0000 0.0000 0.5084
0.5000 0.5000 0.7519
```

Output
**Energy of formation**: 0.64 eV per formula unit
**Raw total energy**: -4.36 eV/atom
**Space-group type**: Pmm2 (25)
**M_tot**: 0.00 Bohr magnetons per cell
**ΔE to the lowest computed polymorph**: 73 meV per atom
**Calculated volume**: 118 Å³ per cell


Record 6
Material: Eu3P4
Method: DFT, PBE
State: optimized geometry

POSCAR file:
```
Eu3P4
1.0
10.9224 -0.0052 0.0027
6.4638 6.0591 -0.0040
4.4585 -3.4450 4.9908
Eu P
6 8
direct
0.5083 0.9917 0.9917
0.2583 0.7417 0.7417
0.9154 0.4183 0.0869
0.5793 0.0869 0.4183
0.1631 0.6707 0.3346
0.8317 0.3346 0.6707
0.9921 0.6669 0.8320
0.5090 0.8320 0.6669
0.4180 0.7410 0.2579
0.5831 0.2579 0.7410
0.9212 0.5787 0.4099
0.0901 0.4099 0.5787
0.8401 0.1598 0.3288
0.6713 0.3288 0.1598
```

Output
**Energy of formation**: -7.30 eV per formula unit
**Raw total energy**: -8.54 eV/atom
**Space-group type**: Fdd2 (43)
**M_tot**: 41.96 Bohr magnetons per cell
**Calculated volume**: 330 Å³ per cell